No. 1
5
Lattice="5.065 0.000 0.000 0.000 5.065 0.000 0.000 0.000 5.065" Properties=species:S:1:pos:R:3 comment="PBE SrCoSn3, relaxed" spacegroup="Pm-3m, No. 221" magmom_total_mub_per_cell=0.00 formation_enthalpy_0k_ev_per_atom=-0.147 pbc="T T T"
Sr 0.000 0.000 0.000
Co 2.533 2.533 2.533
Sn 0.000 2.533 2.533
Sn 2.533 0.000 2.533
Sn 2.533 2.533 0.000

No. 2
5
Lattice="5.591 0.000 0.000 0.000 5.591 0.000 0.000 0.000 5.591" Properties=species:S:1:pos:R:3 comment="PBE Sr3CoSn, relaxed" spacegroup="Pm-3m, No. 221" magmom_total_mub_per_cell=1.04 relative_energy_mev_per_atom=0 formation_enthalpy_0k_ev_per_atom=0.079 pbc="T T T"
Sr 0.000 0.000 2.795
Sr 0.000 2.795 0.000
Sr 2.795 0.000 0.000
Co 0.000 0.000 0.000
Sn 2.795 2.795 2.795

No. 3
12
Lattice="4.370 0.000 0.000 -2.185 3.784 0.000 0.000 0.000 18.326" Properties=species:S:1:pos:R:3 comment="PBE SrCoSn2, relaxed" spacegroup="R-3m, No. 166" magmom_total_mub_per_cell=2.21 formation_enthalpy_0k_ev_per_atom=-0.287 pbc="T T T"
Sr 0.000 0.000 0.000
Sr 0.000 2.523 12.217
Sr 2.185 1.261 6.109
Co 0.000 0.000 9.163
Co 0.000 2.523 3.054
Co 2.185 1.261 15.271
Sn 0.000 0.000 3.918
Sn 0.000 0.000 14.408
Sn 0.000 2.523 8.299
Sn 0.000 2.523 16.135
Sn 2.185 1.261 2.190
Sn 2.185 1.261 10.027

Total DFT energy (no corrections) (computed, eV per atom): -4.306; -3.152; -4.485
Theoretical density (computed, kg/m³): 6423; 4186; 6313